# 1
# BeFeSb2 GGA-PBE relaxed
# Final energy in eV per atom: -4.581
# Uncorrected formation energy in eV/atom: 0.5279
# V in Å³ per atom: 18.3
data_BeFeSb2
_chemical_formula_sum 'Be2 Fe2 Sb4'
_symmetry_space_group_name_H-M 'I m m m'
_symmetry_Int_Tables_number 71
_symmetry_space_group_name_Hall '-I 2 2'
_cell_length_a 3.811
_cell_length_b 5.029
_cell_length_c 7.640
_cell_angle_alpha 90.00
_cell_angle_beta 90.00
_cell_angle_gamma 90.00
loop_
_atom_site_label
_atom_site_type_symbol
_atom_site_fract_x
_atom_site_fract_y
_atom_site_fract_z
Be1 Be 0.000 0.000 0.000
Fe1 Fe 0.000 0.000 0.500
Sb1 Sb 0.000 0.500 0.276



# 2
# BeFe2Sb GGA-PBE relaxed
# Final energy in eV per atom: -5.912
# Uncorrected formation energy in eV/atom: 0.2813
# Energy above the lowest structure with this stoichiometry in meV per atom: 155
# V in Å³ per atom: 14.1
data_BeFe2Sb
_chemical_formula_sum 'Be1 Fe2 Sb1'
_symmetry_space_group_name_H-M 'P m m 2'
_symmetry_Int_Tables_number 25
_cell_length_a 2.990
_cell_length_b 3.710
_cell_length_c 5.095
_cell_angle_alpha 90.00
_cell_angle_beta 90.00
_cell_angle_gamma 90.00
loop_
_symmetry_equiv_pos_as_xyz
'x,y,z'
'-x,-y,z'
'-x,y,z'
'x,-y,z'
loop_
_atom_site_label
_atom_site_type_symbol
_atom_site_fract_x
_atom_site_fract_y
_atom_site_fract_z
Be1 Be 0.000 0.000 0.000
Fe1 Fe 0.500 0.000 0.664
Fe2 Fe 0.500 0.500 0.974
Sb1 Sb 0.000 0.500 0.432



# 3
# BeFeSb4 GGA-PBE relaxed
# Final energy in eV per atom: -3.688
# Uncorrected formation energy in eV/atom: 1.0916
# V in Å³ per atom: 26.7
data_BeFeSb4
_chemical_formula_sum 'Be4 Fe4 Sb16'
_symmetry_space_group_name_H-M 'F -4 3 m'
_symmetry_Int_Tables_number 216
_symmetry_space_group_name_Hall 'F -4 2 3'
_cell_length_a 8.617
_cell_length_b 8.617
_cell_length_c 8.617
_cell_angle_alpha 90.00
_cell_angle_beta 90.00
_cell_angle_gamma 90.00
loop_
_atom_site_label
_atom_site_type_symbol
_atom_site_fract_x
_atom_site_fract_y
_atom_site_fract_z
Be1 Be 0.000 0.000 0.000
Fe1 Fe 0.250 0.250 0.750
Sb1 Sb 0.125 0.125 0.375



# 4
# BeFeSb2 GGA-PBE relaxed
# Final energy in eV per atom: -4.528
# Uncorrected formation energy in eV/atom: 0.5801
# V in Å³ per atom: 18.1
data_BeFeSb2
_chemical_formula_sum 'Be2 Fe2 Sb4'
_symmetry_space_group_name_H-M 'C 1 2/m 1'
_symmetry_Int_Tables_number 12
_cell_length_a 6.030
_cell_length_b 7.083
_cell_length_c 3.470
_cell_angle_alpha 90.00
_cell_angle_beta 101.61
_cell_angle_gamma 90.00
loop_
_symmetry_equiv_pos_as_xyz
'x,y,z'
'-x,-y,-z'
'-x,y,-z'
'x,-y,z'
'x+1/2,y+1/2,z'
'-x+1/2,-y+1/2,-z'
'-x+1/2,y+1/2,-z'
'x+1/2,-y+1/2,z'
loop_
_atom_site_label
_atom_site_type_symbol
_atom_site_fract_x
_atom_site_fract_y
_atom_site_fract_z
Be1 Be 0.000 0.000 0.000
Fe1 Fe 0.000 0.500 0.000
Sb1 Sb 0.250 0.250 0.500



# 5
# BeFe2Sb GGA-PBE relaxed
# Final energy in eV per atom: -5.657
# Uncorrected formation energy in eV/atom: 0.5363
# Energy above the lowest structure with this stoichiometry in meV per atom: 410
# V in Å³ per atom: 14.8
data_BeFe2Sb
_chemical_formula_sum 'Be3 Fe6 Sb3'
_symmetry_space_group_name_H-M 'R 3 m'
_symmetry_Int_Tables_number 160
_symmetry_space_group_name_Hall 'R 3 -2"'
_cell_length_a 2.9962
_cell_length_b 2.9962
_cell_length_c 22.7917
_cell_angle_alpha 90.00
_cell_angle_beta 90.00
_cell_angle_gamma 120.00
loop_
_atom_site_label
_atom_site_type_symbol
_atom_site_fract_x
_atom_site_fract_y
_atom_site_fract_z
Be1 Be 0.0000 0.0000 0.0000
Fe1 Fe 0.0000 0.0000 0.4780
Fe2 Fe 0.0000 0.0000 0.7377
Sb1 Sb 0.0000 0.0000 0.2356



# 6
# Be4FeSb GGA-PBE relaxed
# Final energy in eV per atom: -4.457
# Uncorrected formation energy in eV/atom: 0.1249
# V in Å³ per atom: 10.4
data_Be4FeSb
_chemical_formula_sum 'Be16 Fe4 Sb4'
_symmetry_space_group_name_H-M 'F -4 3 m'
_symmetry_Int_Tables_number 216
_symmetry_space_group_name_Hall 'F -4 2 3'
_cell_length_a 6.302
_cell_length_b 6.302
_cell_length_c 6.302
_cell_angle_alpha 90.00
_cell_angle_beta 90.00
_cell_angle_gamma 90.00
loop_
_atom_site_label
_atom_site_type_symbol
_atom_site_fract_x
_atom_site_fract_y
_atom_site_fract_z
Be1 Be 0.122 0.122 0.122
Fe1 Fe 0.250 0.250 0.750
Sb1 Sb 0.000 0.000 0.500



# 7
# BeFeSb2 GGA-PBE relaxed
# Final energy in eV per atom: -4.961
# Uncorrected formation energy in eV/atom: 0.1476
# V in Å³ per atom: 18.6
data_BeFeSb2
_chemical_formula_sum 'Be1 Fe1 Sb2'
_symmetry_space_group_name_H-M 'P 4 m m'
_symmetry_Int_Tables_number 99
_cell_length_a 3.060
_cell_length_b 3.060
_cell_length_c 7.960
_cell_angle_alpha 90.00
_cell_angle_beta 90.00
_cell_angle_gamma 90.00
loop_
_symmetry_equiv_pos_as_xyz
'x,y,z'
'-y,x,z'
'-x,-y,z'
'y,-x,z'
'-x,y,z'
'y,x,z'
'x,-y,z'
'-y,-x,z'
loop_
_atom_site_label
_atom_site_type_symbol
_atom_site_fract_x
_atom_site_fract_y
_atom_site_fract_z
Be1 Be 0.000 0.000 0.000
Fe1 Fe 0.500 0.500 0.110
Sb1 Sb 0.000 0.000 0.322
Sb2 Sb 0.500 0.500 0.776



# 8
# BeFeSb2 GGA-PBE relaxed
# Final energy in eV per atom: -4.762
# Uncorrected formation energy in eV/atom: 0.3468
# V in Å³ per atom: 18.3
data_BeFeSb2
_chemical_formula_sum 'Be2 Fe2 Sb4'
_symmetry_space_group_name_H-M 'C 1 2/m 1'
_symmetry_Int_Tables_number 12
_cell_length_a 6.111
_cell_length_b 3.513
_cell_length_c 7.121
_cell_angle_alpha 90.00
_cell_angle_beta 106.66
_cell_angle_gamma 90.00
loop_
_symmetry_equiv_pos_as_xyz
'x,y,z'
'-x,-y,-z'
'-x,y,-z'
'x,-y,z'
'x+1/2,y+1/2,z'
'-x+1/2,-y+1/2,-z'
'-x+1/2,y+1/2,-z'
'x+1/2,-y+1/2,z'
loop_
_atom_site_label
_atom_site_type_symbol
_atom_site_fract_x
_atom_site_fract_y
_atom_site_fract_z
Be1 Be 0.000 0.000 0.000
Fe1 Fe 0.000 0.500 0.500
Sb1 Sb 0.248 0.500 0.244



# 9
# BeFeSb2 GGA-PBE relaxed
# Final energy in eV per atom: -4.931
# Uncorrected formation energy in eV/atom: 0.1778
# V in Å³ per atom: 16.7
data_BeFeSb2
_chemical_formula_sum 'Be2 Fe2 Sb4'
_symmetry_space_group_name_H-M 'A m m 2'
_symmetry_Int_Tables_number 38
_cell_length_a 3.924
_cell_length_b 3.719
_cell_length_c 9.140
_cell_angle_alpha 90.00
_cell_angle_beta 90.00
_cell_angle_gamma 90.00
loop_
_symmetry_equiv_pos_as_xyz
'x,y,z'
'-x,-y,z'
'-x,y,z'
'x,-y,z'
'x,y+1/2,z+1/2'
'-x,-y+1/2,z+1/2'
'-x,y+1/2,z+1/2'
'x,-y+1/2,z+1/2'
loop_
_atom_site_label
_atom_site_type_symbol
_atom_site_fract_x
_atom_site_fract_y
_atom_site_fract_z
Be1 Be 0.000 0.000 0.000
Fe1 Fe 0.500 0.000 0.128
Sb1 Sb 0.000 0.000 0.712
Sb2 Sb 0.500 0.000 0.427



# 10
# BeFe2Sb GGA-PBE relaxed
# Final energy in eV per atom: -6.008
# Uncorrected formation energy in eV/atom: 0.1851
# Energy above the lowest structure with this stoichiometry in meV per atom: 58
# V in Å³ per atom: 12.9
data_BeFe2Sb
_chemical_formula_sum 'Be2 Fe4 Sb2'
_symmetry_space_group_name_H-M 'I -4 m 2'
_symmetry_Int_Tables_number 119
_symmetry_space_group_name_Hall 'I -4 -2'
_cell_length_a 3.692
_cell_length_b 3.692
_cell_length_c 7.584
_cell_angle_alpha 90.00
_cell_angle_beta 90.00
_cell_angle_gamma 90.00
loop_
_atom_site_label
_atom_site_type_symbol
_atom_site_fract_x
_atom_site_fract_y
_atom_site_fract_z
Be1 Be 0.000 0.000 0.000
Fe1 Fe 0.000 0.000 0.500
Fe2 Fe 0.000 0.500 0.250
Sb1 Sb 0.000 0.500 0.750



# 11
# BeFe2Sb GGA-PBE relaxed
# Final energy in eV per atom: -5.974
# Uncorrected formation energy in eV/atom: 0.2198
# Energy above the lowest structure with this stoichiometry in meV per atom: 93
# V in Å³ per atom: 12.6
data_BeFe2Sb
_chemical_formula_sum 'Be1 Fe2 Sb1'
_symmetry_space_group_name_H-M 'P 4/m m m'
_symmetry_Int_Tables_number 123
_symmetry_space_group_name_Hall '-P 4 2'
_cell_length_a 3.733
_cell_length_b 3.733
_cell_length_c 3.621
_cell_angle_alpha 90.00
_cell_angle_beta 90.00
_cell_angle_gamma 90.00
loop_
_atom_site_label
_atom_site_type_symbol
_atom_site_fract_x
_atom_site_fract_y
_atom_site_fract_z
Be1 Be 0.000 0.000 0.000
Fe1 Fe 0.000 0.500 0.500
Sb1 Sb 0.500 0.500 0.000



# 12
# BeFeSb2 GGA-PBE relaxed
# Final energy in eV per atom: -4.241
# Uncorrected formation energy in eV/atom: 0.8676
# V in Å³ per atom: 19.4
data_BeFeSb2
_chemical_formula_sum 'Be4 Fe4 Sb8'
_symmetry_space_group_name_H-M 'F -4 3 m'
_symmetry_Int_Tables_number 216
_symmetry_space_group_name_Hall 'F -4 2 3'
_cell_length_a 6.772
_cell_length_b 6.772
_cell_length_c 6.772
_cell_angle_alpha 90.00
_cell_angle_beta 90.00
_cell_angle_gamma 90.00
loop_
_atom_site_label
_atom_site_type_symbol
_atom_site_fract_x
_atom_site_fract_y
_atom_site_fract_z
Be1 Be 0.000 0.000 0.000
Fe1 Fe 0.250 0.250 0.750
Sb1 Sb 0.000 0.000 0.500
Sb2 Sb 0.250 0.250 0.250